Record 1
DFT (PBE) results for an optimized crystal structure of In2PdRuPb.

Calculated values
**Uncorrected energy**: -4.37 eV/atom
**Calculated volume**: 26.8 A^3/atom
**Formation energy**: 0.361 eV/atom

Geometry as CIF:
```
data_In2PdRuPb
_chemical_formula_sum 'In2 Pd1 Ru1 Pb1'
_space_group_name_H-M_alt 'P 4/m m m'
_space_group_IT_number 123
_space_group_name_Hall '-P 4 2'
_cell_length_a 5.106
_cell_length_b 5.106
_cell_length_c 5.139
_cell_angle_alpha 90.00
_cell_angle_beta 90.00
_cell_angle_gamma 90.00
loop_
_atom_site_label
_atom_site_type_symbol
_atom_site_fract_x
_atom_site_fract_y
_atom_site_fract_z
In1 In 0.000 0.500 0.000
Pd1 Pd 0.000 0.000 0.500
Ru1 Ru 0.500 0.500 0.000
Pb1 Pb 0.500 0.500 0.500
```

---

Record 2
DFT (PBE) results for an optimized crystal structure of In2PdPbS.

Calculated values
**Uncorrected energy**: -3.78 eV/atom
**Energy relative to the elements, uncorrected**: -7.6 kJ/mol of atoms
**Calculated volume**: 28.1 A^3/atom

Geometry as CIF:
```
data_In2PdPbS
_chemical_formula_sum 'In2 Pd1 Pb1 S1'
_space_group_name_H-M_alt 'P 4/m m m'
_space_group_IT_number 123
_space_group_name_Hall '-P 4 2'
_cell_length_a 5.132
_cell_length_b 5.132
_cell_length_c 5.335
_cell_angle_alpha 90.00
_cell_angle_beta 90.00
_cell_angle_gamma 90.00
loop_
_atom_site_label
_atom_site_type_symbol
_atom_site_fract_x
_atom_site_fract_y
_atom_site_fract_z
In1 In 0.000 0.500 0.000
Pd1 Pd 0.000 0.000 0.000
Pb1 Pb 0.000 0.000 0.500
S1 S 0.500 0.500 0.500
```

---

Record 3
DFT (PBE) results for an optimized crystal structure of In2SbPdPb.

Calculated values
**Uncorrected energy**: -3.34 eV/atom
**Offset from the most stable computed form**: 0 meV/atom
**Energy relative to the elements, uncorrected**: 35.2 kJ/mol of atoms
**Calculated volume**: 32.3 A^3/atom

Geometry as CIF:
```
data_In2SbPdPb
_chemical_formula_sum 'In2 Sb1 Pd1 Pb1'
_space_group_name_H-M_alt 'P 4/m m m'
_space_group_IT_number 123
_space_group_name_Hall '-P 4 2'
_cell_length_a 5.704
_cell_length_b 5.704
_cell_length_c 4.971
_cell_angle_alpha 90.00
_cell_angle_beta 90.00
_cell_angle_gamma 90.00
loop_
_atom_site_label
_atom_site_type_symbol
_atom_site_fract_x
_atom_site_fract_y
_atom_site_fract_z
In1 In 0.000 0.500 0.000
Sb1 Sb 0.000 0.000 0.000
Pd1 Pd 0.000 0.000 0.500
Pb1 Pb 0.500 0.500 0.500
```

---

- Number 2 is which compound?
  In2PdPbS